[1]
Here is a geometry-optimized HgHRu2 structure from Alexandria via LeMat-Bulk. Energies are from GGA-PBE.

E above lowest polymorph: 0.000 eV/atom
total magnetic moment: 2.0 μB/f.u.
space group: I-42d, No. 122

Cell: 5.975 5.975 5.208 Å, 55.00 55.00 90.00°
Element x y z (fractional)
H 0.500 0.500 0.000
H 0.250 0.750 0.500
Ru 0.875 0.741 0.750
Ru 0.259 0.625 0.250
Ru 0.491 0.125 0.250
Ru 0.375 0.509 0.750
Hg 0.750 0.250 0.500
Hg 0.000 0.000 0.000

[2]
Here is a geometry-optimized AgBi2B2O6 structure from Alexandria via LeMat-Bulk. Energies are from GGA-PBE.

total magnetic moment: 0.0 μB/f.u.
space group: P-1, No. 2
formation energy (no corrections): -1.4108 eV/atom

Cell: 5.824 6.432 6.529 Å, 109.00 91.48 49.40°
Element x y z (fractional)
Bi 0.134 0.669 0.202
Bi 0.866 0.331 0.798
O 0.894 0.698 0.886
O 0.003 0.151 0.374
O 0.322 0.659 0.875
O 0.997 0.849 0.626
O 0.678 0.341 0.125
O 0.106 0.302 0.114
B 0.929 0.272 0.218
B 0.071 0.728 0.782
Ag 0.500 0.000 0.500

Question: Look up the total magnetic moment of the second one.
Answer: 0.0 μB/f.u.

Question: Which of these has the lowest total magnetic moment?
Answer: AgBi2B2O6

Please write out number 2 again, unchanged.
Here is a geometry-optimized AgBi2B2O6 structure from Alexandria via LeMat-Bulk. Energies are from GGA-PBE.

total magnetic moment: 0.0 μB/f.u.
space group: P-1, No. 2
formation energy (no corrections): -1.4108 eV/atom

Cell: 5.824 6.432 6.529 Å, 109.00 91.48 49.40°
Element x y z (fractional)
Bi 0.134 0.669 0.202
Bi 0.866 0.331 0.798
O 0.894 0.698 0.886
O 0.003 0.151 0.374
O 0.322 0.659 0.875
O 0.997 0.849 0.626
O 0.678 0.341 0.125
O 0.106 0.302 0.114
B 0.929 0.272 0.218
B 0.071 0.728 0.782
Ag 0.500 0.000 0.500

Question: Which formula does entry 2 have?
Answer: AgBi2B2O6